Version one
{"formula": "TlSiAu2", "functional": "PBE", "state": "relaxed", "lattice_angstrom": [[-3.970, 2.490, -2.661], [-0.290, -1.496, -5.169], [0.251, -2.699, 4.657]], "species": ["Au", "Au", "Si", "Tl"], "frac_coords": [[0.000, 0.000, 0.000], [0.250, 0.750, 0.500], [0.500, 0.500, 0.000], [0.750, 0.250, 0.500]], "dos_ef_per_ev_cell": 1.438}



Version two
{"formula": "TlSiAu2", "functional": "PBE", "state": "relaxed", "lattice_angstrom": [[6.608, -0.559, -2.952], [-3.509, 5.628, -2.952], [-0.680, -1.112, 6.804]], "species": ["Tl", "Tl", "Si", "Si", "Au", "Au", "Au", "Au"], "frac_coords": [[0.574, 0.830, 0.462], [0.830, 0.574, 0.962], [0.268, 0.495, 0.641], [0.495, 0.268, 0.141], [0.169, 0.169, 0.679], [0.700, 0.043, 0.131], [0.169, 0.169, 0.179], [0.043, 0.700, 0.631]], "dos_ef_per_ev_cell": 3.198}



Which of them is the most stable, and which is the least stable? version two and version one, in that order.